DFT (PBE-GGA) results for AlIn2Ru after structural relaxation.

```
AlIn2Ru
1.0
3.434 0.000 0.000
0.000 4.578 0.000
0.000 0.000 4.648
Al In Ru
1 2 1
Cartesian
0.000 0.000 0.000
0.000 2.289 2.324
1.717 2.289 0.000
1.717 0.000 2.324
```

Summary:
As for the formation energy: 0.22 eV per atom. The calculation puts the density of states at the Fermi level at 0.336 states/eV per atom.